[1]
AcTlCdRh | GGA-PBE | relaxed

a = 7.3835 Å, b = 7.3835 Å, c = 7.3835 Å
α = 90.00°, β = 90.00°, γ = 90.00°
Closest atoms and distances in Å follow each position.
Fractional positions:
Ac 0.0000 0.0000 0.0000  4 Cd 3.20, 4 Rh 3.20
Ac 0.0000 0.5000 0.5000  4 Cd 3.20, 4 Rh 3.20
Ac 0.5000 0.0000 0.5000  4 Cd 3.20, 4 Rh 3.20
Ac 0.5000 0.5000 0.0000  4 Cd 3.20, 4 Rh 3.20
Tl 0.0000 0.0000 0.5000  4 Cd 3.20, 4 Rh 3.20
Tl 0.0000 0.5000 0.0000  4 Rh 3.20, 4 Cd 3.20
Tl 0.5000 0.0000 0.0000  4 Rh 3.20, 4 Cd 3.20
Tl 0.5000 0.5000 0.5000  4 Cd 3.20, 4 Rh 3.20
Cd 0.2500 0.2500 0.7500  4 Ac 3.20, 4 Tl 3.20
Cd 0.2500 0.7500 0.2500  4 Ac 3.20, 4 Tl 3.20
Cd 0.7500 0.2500 0.2500  4 Ac 3.20, 4 Tl 3.20
Cd 0.7500 0.7500 0.7500  4 Ac 3.20, 4 Tl 3.20
Rh 0.2500 0.2500 0.2500  4 Ac 3.20, 4 Tl 3.20
Rh 0.2500 0.7500 0.7500  4 Ac 3.20, 4 Tl 3.20
Rh 0.7500 0.2500 0.7500  4 Ac 3.20, 4 Tl 3.20
Rh 0.7500 0.7500 0.2500  4 Ac 3.20, 4 Tl 3.20

Results
total magnetization: 0.000 μB/f.u.
energy of formation from the pure elements: -0.145 eV per atom

[2]
Ac2TlCdRh | GGA-PBE | relaxed

a = 8.6293 Å, b = 4.3259 Å, c = 8.7127 Å
α = 90.00°, β = 111.53°, γ = 90.00°
Closest atoms and distances in Å follow each position.
Fractional positions:
Ac 0.1074 0.2500 0.3402  2 Rh 3.01
Ac 0.2808 0.2500 0.9891  3 Rh 2.97-3.19
Ac 0.7192 0.7500 0.0109  3 Rh 2.97-3.19
Ac 0.8926 0.7500 0.6598  2 Rh 3.01
Tl 0.3136 0.7500 0.6799  3 Cd 3.13-3.41
Tl 0.6864 0.2500 0.3201  3 Cd 3.13-3.41
Cd 0.4371 0.7500 0.3508  1 Rh 2.84, 2 Tl 3.13
Cd 0.5629 0.2500 0.6492  1 Rh 2.84, 2 Tl 3.13
Rh 0.1130 0.7500 0.1028  1 Cd 2.84, 4 Ac 2.97-3.01, 2 Rh 3.02
Rh 0.8870 0.2500 0.8972  1 Cd 2.84, 4 Ac 2.97-3.01, 2 Rh 3.02

Results
total magnetization: 0.000 μB/f.u.
energy of formation from the pure elements: -0.489 eV per atom

[3]
AcTmCdRh | GGA-PBE | relaxed

a = 7.4455 Å, b = 7.4455 Å, c = 7.4455 Å
α = 90.00°, β = 90.00°, γ = 90.00°
Closest atoms and distances in Å follow each position.
Fractional positions:
Ac 0.0000 0.0000 0.0000  4 Cd 3.22, 4 Rh 3.22
Ac 0.0000 0.5000 0.5000  4 Cd 3.22, 4 Rh 3.22
Ac 0.5000 0.0000 0.5000  4 Cd 3.22, 4 Rh 3.22
Ac 0.5000 0.5000 0.0000  4 Cd 3.22, 4 Rh 3.22
Tm 0.0000 0.0000 0.5000  4 Rh 3.22, 4 Cd 3.22
Tm 0.0000 0.5000 0.0000  4 Rh 3.22, 4 Cd 3.22
Tm 0.5000 0.0000 0.0000  4 Rh 3.22, 4 Cd 3.22
Tm 0.5000 0.5000 0.5000  4 Cd 3.22, 4 Rh 3.22
Cd 0.2500 0.2500 0.7500  4 Ac 3.22, 4 Tm 3.22
Cd 0.2500 0.7500 0.2500  4 Ac 3.22, 4 Tm 3.22
Cd 0.7500 0.2500 0.2500  4 Ac 3.22, 4 Tm 3.22
Cd 0.7500 0.7500 0.7500  4 Ac 3.22, 4 Tm 3.22
Rh 0.2500 0.2500 0.2500  4 Ac 3.22, 4 Tm 3.22
Rh 0.2500 0.7500 0.7500  4 Ac 3.22, 4 Tm 3.22
Rh 0.7500 0.2500 0.7500  4 Ac 3.22, 4 Tm 3.22
Rh 0.7500 0.7500 0.2500  4 Ac 3.22, 4 Tm 3.22

Results
total magnetization: 0.000 μB/f.u.
energy of formation from the pure elements: -0.381 eV per atom

[4]
AcYCdRh | GGA-PBE | relaxed

a = 7.4961 Å, b = 7.4961 Å, c = 7.4961 Å
α = 90.00°, β = 90.00°, γ = 90.00°
Closest atoms and distances in Å follow each position.
Fractional positions:
Ac 0.0000 0.0000 0.0000  4 Cd 3.25, 4 Rh 3.25
Ac 0.0000 0.5000 0.5000  4 Cd 3.25, 4 Rh 3.25
Ac 0.5000 0.0000 0.5000  4 Cd 3.25, 4 Rh 3.25
Ac 0.5000 0.5000 0.0000  4 Cd 3.25, 4 Rh 3.25
Y 0.0000 0.0000 0.5000  4 Rh 3.25, 4 Cd 3.25
Y 0.0000 0.5000 0.0000  4 Rh 3.25, 4 Cd 3.25
Y 0.5000 0.0000 0.0000  4 Rh 3.25, 4 Cd 3.25
Y 0.5000 0.5000 0.5000  4 Rh 3.25, 4 Cd 3.25
Cd 0.2500 0.2500 0.2500  4 Y 3.25, 4 Ac 3.25
Cd 0.2500 0.7500 0.7500  4 Ac 3.25, 4 Y 3.25
Cd 0.7500 0.2500 0.7500  4 Ac 3.25, 4 Y 3.25
Cd 0.7500 0.7500 0.2500  4 Ac 3.25, 4 Y 3.25
Rh 0.2500 0.2500 0.7500  4 Ac 3.25, 4 Y 3.25
Rh 0.2500 0.7500 0.2500  4 Ac 3.25, 4 Y 3.25
Rh 0.7500 0.2500 0.2500  4 Ac 3.25, 4 Y 3.25
Rh 0.7500 0.7500 0.7500  4 Ac 3.25, 4 Y 3.25

Results
total magnetization: 0.000 μB/f.u.
energy of formation from the pure elements: -0.381 eV per atom

Look up the total magnetization of the fourth one.
0.000 μB/f.u.

Look up the energy of formation from the pure elements of the first one.
-0.145 eV per atom

Which value of energy of formation from the pure elements does entry 4 give?
-0.381 eV per atom

Among the records above, which one has the highest energy of formation from the pure elements?
AcTlCdRh